Density functional theory data (PBE+U) for crystalline LaNiIO6 at its relaxed geometry.

Spin magnetization = 0.222 μB per atom
E = -5.796 eV/atom

a b c (Å): 5.252 5.252 5.181
angles (deg): 90.00 90.00 60.00
Atoms (fractional coordinates):
Ni (0.667, 0.667, 0.500)
La (0.000, 0.000, 0.000)
O (0.025, 0.620, 0.710)
O (0.355, 0.620, 0.290)
O (0.025, 0.355, 0.290)
O (0.620, 0.355, 0.710)
O (0.620, 0.025, 0.290)
O (0.355, 0.025, 0.710)
I (0.333, 0.333, 0.500)